A relaxed structure of BAsBr2F. Source: Alexandria, functional PBE.

Values from the calculation:
E above lowest polymorph ... 0.000 kcal/mol of atoms
Total magnetic moment ... 0.00 μB per atom
Formation energy from raw total energies ... 0.465 eV per atom
Calculated density ... 4.71 g/cm3

Cell: 4.6447 4.6447 4.3237 Å, 90.00 90.00 90.00°
Closest atoms and distances in Å follow each position.
Atoms (fractional coordinates):
Br 0.5000 0.0000 0.0000  2 B 2.32
Br 0.0000 0.5000 0.0000  2 B 2.32
As 0.0000 0.0000 0.5000  2 B 2.16
F 0.5000 0.5000 0.5000  8 Br 3.17, 4 As 3.28
B 0.0000 0.0000 0.0000  2 As 2.16, 4 Br 2.32